Entry 1:
! GGA-PBE TlV3Ru, optimized geometry; values from VASP
! ΔE to the lowest computed polymorph = 0.00 kJ/mol of atoms
! total magnetic moment = 0.03 μB/atom
! formation enthalpy at 0 K = 0.915 eV/atom
! space group = Pm-3m, No. 221
! density of states at the Fermi level = 6.1 states/eV/f.u.
! crystal system = cubic
&SYSTEM
  ibrav = 0, nat = 5, ntyp = 3
/
ATOMIC_SPECIES
V 50.94 V.upf
Ru 101.07 Ru.upf
Tl 204.38 Tl.upf
CELL_PARAMETERS angstrom
4.586 0.000 0.000
0.000 4.586 0.000
0.000 0.000 4.586
ATOMIC_POSITIONS crystal
V 0.500 0.000 0.000
V 0.000 0.500 0.000
V 0.000 0.000 0.500
Ru 0.000 0.000 0.000
Tl 0.500 0.500 0.500

Entry 2:
! GGA-PBE TlVRu2, optimized geometry; values from VASP
! ΔE to the lowest computed polymorph = 42.65 kJ/mol of atoms
! total magnetic moment = 0.00 μB/atom
! formation enthalpy at 0 K = 0.523 eV/atom
! space group = I-42d, No. 122
! density of states at the Fermi level = 3.1 states/eV/f.u.
! crystal system = tetragonal
&SYSTEM
  ibrav = 0, nat = 8, ntyp = 3
/
ATOMIC_SPECIES
V 50.94 V.upf
Ru 101.07 Ru.upf
Tl 204.38 Tl.upf
CELL_PARAMETERS angstrom
-0.464 6.255 -3.259
-6.991 0.024 1.042
-3.360 4.436 1.327
ATOMIC_POSITIONS crystal
V 0.250 0.750 0.500
V 0.500 0.500 0.000
Ru 0.375 0.434 0.750
Ru 0.566 0.125 0.250
Ru 0.184 0.625 0.250
Ru 0.875 0.816 0.750
Tl 0.000 0.000 0.000
Tl 0.750 0.250 0.500

Entry 3:
! GGA-PBE Tl2VRu, optimized geometry; values from VASP
! ΔE to the lowest computed polymorph = 33.81 kJ/mol of atoms
! total magnetic moment = 0.55 μB/atom
! formation enthalpy at 0 K = 0.932 eV/atom
! space group = I-42d, No. 122
! density of states at the Fermi level = 6.1 states/eV/f.u.
! crystal system = tetragonal
&SYSTEM
  ibrav = 0, nat = 8, ntyp = 3
/
ATOMIC_SPECIES
Tl 204.38 Tl.upf
V 50.94 V.upf
Ru 101.07 Ru.upf
CELL_PARAMETERS angstrom
-3.986 -5.249 -3.912
1.184 -5.083 5.613
-3.806 -4.301 2.141
ATOMIC_POSITIONS crystal
Tl 0.114 0.625 0.250
Tl 0.636 0.125 0.250
Tl 0.375 0.364 0.750
Tl 0.875 0.886 0.750
V 0.500 0.500 0.000
V 0.250 0.750 0.500
Ru 0.000 0.000 0.000
Ru 0.750 0.250 0.500

Entry 4:
! GGA-PBE Tl2RuW, optimized geometry; values from VASP
! ΔE to the lowest computed polymorph = 66.96 kJ/mol of atoms
! total magnetic moment = 0.10 μB/atom
! formation enthalpy at 0 K = 1.106 eV/atom
! space group = F-43m, No. 216
! density of states at the Fermi level = 4.3 states/eV/f.u.
! crystal system = cubic
&SYSTEM
  ibrav = 0, nat = 4, ntyp = 3
/
ATOMIC_SPECIES
Tl 204.38 Tl.upf
W 183.84 W.upf
Ru 101.07 Ru.upf
CELL_PARAMETERS angstrom
4.787 0.000 0.000
2.393 4.146 0.000
2.393 1.382 3.908
ATOMIC_POSITIONS crystal
Tl 0.250 0.250 0.250
Tl 0.000 0.000 0.000
W 0.750 0.750 0.750
Ru 0.500 0.500 0.500

Entry 5:
! GGA-PBE TlRu2W, optimized geometry; values from VASP
! ΔE to the lowest computed polymorph = 28.42 kJ/mol of atoms
! total magnetic moment = 0.00 μB/atom
! formation enthalpy at 0 K = 0.561 eV/atom
! space group = P4mm, No. 99
! density of states at the Fermi level = 4.8 states/eV/f.u.
! crystal system = tetragonal
&SYSTEM
  ibrav = 0, nat = 4, ntyp = 3
/
ATOMIC_SPECIES
Ru 101.07 Ru.upf
Tl 204.38 Tl.upf
W 183.84 W.upf
CELL_PARAMETERS angstrom
-0.030 2.709 0.936
-2.335 0.519 -1.579
-4.675 -2.192 6.195
ATOMIC_POSITIONS crystal
Ru 0.000 0.000 0.006
Ru 0.500 0.500 0.225
Tl 0.000 0.000 0.489
W 0.500 0.500 0.780

Entry 6:
! GGA-PBE Tl2RuW, optimized geometry; values from VASP
! ΔE to the lowest computed polymorph = 53.08 kJ/mol of atoms
! total magnetic moment = 0.00 μB/atom
! formation enthalpy at 0 K = 0.963 eV/atom
! space group = Immm, No. 71
! density of states at the Fermi level = 3.7 states/eV/f.u.
! crystal system = orthorhombic
&SYSTEM
  ibrav = 0, nat = 4, ntyp = 3
/
ATOMIC_SPECIES
W 183.84 W.upf
Tl 204.38 Tl.upf
Ru 101.07 Ru.upf
CELL_PARAMETERS angstrom
5.676 0.001 0.004
2.473 5.109 -0.004
-3.305 -3.782 2.644
ATOMIC_POSITIONS crystal
W 0.750 0.250 0.500
Tl 0.011 0.011 0.000
Tl 0.489 0.489 0.000
Ru 0.250 0.750 0.500

- Which of these has the highest formation enthalpy at 0 K?
  number 4